--- w ---
! TlCd2Re PBE optimized geometry; values from VASP
! magnetization	0.000	μB per cell
&SYSTEM
  ibrav = 0, nat = 8, ntyp = 3
/
ATOMIC_SPECIES
Tl 204.38 Tl.upf
Cd 112.41 Cd.upf
Re 186.21 Re.upf
ATOMIC_POSITIONS angstrom
Tl 0.000 0.000 0.000
Tl 1.600 2.413 0.000
Cd 0.000 2.413 3.183
Cd 0.000 2.413 7.971
Cd 1.600 0.000 3.183
Cd 1.600 0.000 7.971
Re 0.000 0.000 5.577
Re 1.600 2.413 5.577
CELL_PARAMETERS angstrom
3.201 0.000 0.000
0.000 4.827 0.000
0.000 0.000 11.154


--- x ---
! TlCd2Re PBE optimized geometry; values from VASP
! magnetization	3.347	μB per cell
&SYSTEM
  ibrav = 0, nat = 16, ntyp = 3
/
ATOMIC_SPECIES
Tl 204.38 Tl.upf
Cd 112.41 Cd.upf
Re 186.21 Re.upf
ATOMIC_POSITIONS angstrom
Tl 0.000 0.000 0.000
Tl 0.000 2.056 5.163
Tl 2.056 0.000 15.488
Tl 2.056 2.056 10.325
Cd 0.928 1.028 12.906
Cd 1.028 2.984 18.069
Cd 1.028 3.184 7.744
Cd 1.128 1.028 2.581
Cd 2.984 3.084 2.581
Cd 3.084 0.928 7.744
Cd 3.084 1.128 18.069
Cd 3.184 3.084 12.906
Re 0.000 0.000 10.325
Re 0.000 2.056 15.488
Re 2.056 0.000 5.163
Re 2.056 2.056 0.000
CELL_PARAMETERS angstrom
4.112 0.000 0.000
0.000 4.112 0.000
0.000 0.000 20.650


Quick one: least stable of them? x